An optimized crystal structure of Na3SrI, computed with PBE.

Cell: 7.082 7.082 7.082 Å, 90.00 90.00 90.00°
Space group Pm-3m (No. 221)
Asymmetric unit:
Na 0.000 0.000 0.500 [3 per cell]
Sr 0.000 0.000 0.000 [1 per cell]
I 0.500 0.500 0.500 [1 per cell]

Summary:
The formation energy without anion corrections comes out at 7.3 kcal/mol of atoms. For the electronic total energy, the calculation gives -0.0824 Ry per atom. The distance to the lowest polymorph of the same formula is 534 meV/atom.